(1)
DFT (PBE) results for Pr4DyCd3 after structural relaxation.

Cell lengths 3.821, 5.603, 11.312 Å; angles 90.00, 90.00, 90.00 degrees
Fractional coordinates of all 8 atoms:
Pr  0.000  0.000  0.000
Pr  0.000  0.000  0.500
Pr  0.000  0.500  0.239
Pr  0.000  0.500  0.761
Dy  0.500  0.500  0.500
Cd  0.500  0.000  0.254
Cd  0.500  0.000  0.746
Cd  0.500  0.500  0.000

Properties
ΔH_f (0 K)	-195	meV/atom
volume	30.3	Å³/atom

(2)
DFT (PBE) results for PrDy3Cd after structural relaxation.

Cell lengths 9.868, 9.868, 7.268 Å; angles 97.38, 97.38, 65.40 degrees
Fractional coordinates of all 20 atoms:
Pr  0.024  0.976  0.750
Pr  0.346  0.654  0.250
Pr  0.654  0.346  0.750
Pr  0.976  0.024  0.250
Dy  0.001  0.664  0.925
Dy  0.011  0.331  0.601
Dy  0.313  0.315  0.387
Dy  0.315  0.313  0.887
Dy  0.331  0.011  0.101
Dy  0.336  0.999  0.575
Dy  0.664  0.001  0.425
Dy  0.669  0.989  0.899
Dy  0.685  0.687  0.113
Dy  0.687  0.685  0.613
Dy  0.989  0.669  0.399
Dy  0.999  0.336  0.075
Cd  0.263  0.582  0.670
Cd  0.418  0.737  0.830
Cd  0.582  0.263  0.170
Cd  0.737  0.418  0.330

Properties
ΔH_f (0 K)	9	meV/atom
volume	31.8	Å³/atom
relative energy among the computed polymorphs	0.115	eV per atom

(3)
DFT (PBE) results for PrDy2Cd after structural relaxation.

Cell lengths 4.903, 4.903, 4.904 Å; angles 90.00, 90.00, 90.00 degrees
Fractional coordinates of all 4 atoms:
Pr  0.000  0.000  0.000
Dy  0.000  0.500  0.500
Dy  0.500  0.000  0.500
Cd  0.500  0.500  0.000

Properties
ΔH_f (0 K)	-92	meV/atom
volume	29.5	Å³/atom
relative energy among the computed polymorphs	0.055	eV per atom

(4)
DFT (PBE) results for PrDyCd after structural relaxation.

Cell lengths 5.244, 5.244, 5.244 Å; angles 120.10, 120.10, 89.83 degrees
Fractional coordinates of all 3 atoms:
Pr  0.000  0.000  0.000
Dy  0.500  0.500  0.000
Cd  0.250  0.750  0.500

Properties
ΔH_f (0 K)	91	meV/atom
volume	33.9	Å³/atom
relative energy among the computed polymorphs	0.286	eV per atom